# WAu3O

A relaxed WAu3O crystal (PBE+U, Alexandria).

Results
Magnetization: 0.00 μB/atom
Density of states at the Fermi level: 8.3 states/eV/f.u.
E: -2.58 eV per atom

a = 5.131 Å, b = 5.131 Å, c = 5.131 Å
α = 90.00°, β = 90.00°, γ = 90.00°
Fractional coordinates of all 5 atoms:
1 W 0.000 0.000 0.000
2 Au 0.000 0.000 0.500
3 Au 0.000 0.500 0.000
4 Au 0.500 0.000 0.000
5 O 0.500 0.500 0.500